# LaY2 (SCAN, single point on PBEsol structure)
# Distance to the lowest polymorph of the same formula: 20.6 meV/atom
# Energy of formation: 0.15 eV/f.u.
# Magnetic moment: 0.00 μB per atom
data_LaY2
_cell_length_a 9.7116
_cell_length_b 9.7116
_cell_length_c 3.5086
_cell_angle_alpha 90.00
_cell_angle_beta 90.00
_cell_angle_gamma 120.00
_symmetry_space_group_name_H-M 'P -6 2 m'
_symmetry_Int_Tables_number 189
_symmetry_space_group_name_Hall 'P -6 -2'
loop_
_atom_site_label
_atom_site_type_symbol
_atom_site_fract_x
_atom_site_fract_y
_atom_site_fract_z
La1 La 0.0000 0.0000 0.0000
La2 La 0.3333 0.6667 0.5000
Y1 Y 0.0000 0.3124 0.5000
Y2 Y 0.0000 0.6494 0.0000



# LaY3 (SCAN, single point on PBEsol structure)
# Energy of formation: 0.17 eV/f.u.
# Magnetic moment: 0.00 μB per atom
data_LaY3
_cell_length_a 3.5476
_cell_length_b 3.5476
_cell_length_c 34.5567
_cell_angle_alpha 90.00
_cell_angle_beta 90.00
_cell_angle_gamma 120.00
_symmetry_space_group_name_H-M 'R -3 m'
_symmetry_Int_Tables_number 166
_symmetry_space_group_name_Hall '-R 3 2"'
loop_
_atom_site_label
_atom_site_type_symbol
_atom_site_fract_x
_atom_site_fract_y
_atom_site_fract_z
La1 La 0.0000 0.0000 0.0000
Y1 Y 0.0000 0.0000 0.2487
Y2 Y 0.0000 0.0000 0.5000



# LaY2Zn (SCAN, single point on PBEsol structure)
# Distance to the lowest polymorph of the same formula: 203.1 meV/atom
# Energy of formation: -0.02 eV/f.u.
# Magnetic moment: 0.00 μB per atom
data_LaY2Zn
_cell_length_a 3.691
_cell_length_b 5.340
_cell_length_c 5.498
_cell_angle_alpha 90.00
_cell_angle_beta 90.00
_cell_angle_gamma 90.00
_symmetry_space_group_name_H-M 'P m m m'
_symmetry_Int_Tables_number 47
loop_
_symmetry_equiv_pos_as_xyz
'x,y,z'
'-x,-y,-z'
'-x,-y,z'
'x,y,-z'
'x,-y,-z'
'-x,y,z'
'-x,y,-z'
'x,-y,z'
loop_
_atom_site_label
_atom_site_type_symbol
_atom_site_fract_x
_atom_site_fract_y
_atom_site_fract_z
La1 La 0.000 0.000 0.000
Y1 Y 0.000 0.500 0.500
Y2 Y 0.500 0.500 0.000
Zn1 Zn 0.500 0.000 0.500



# LaYZn2 (SCAN, single point on PBEsol structure)
# Distance to the lowest polymorph of the same formula: 15.1 meV/atom
# Energy of formation: -1.55 eV/f.u.
# Magnetic moment: 0.00 μB per atom
data_LaYZn2
_cell_length_a 7.215
_cell_length_b 7.215
_cell_length_c 7.215
_cell_angle_alpha 90.00
_cell_angle_beta 90.00
_cell_angle_gamma 90.00
_symmetry_space_group_name_H-M 'F m -3 m'
_symmetry_Int_Tables_number 225
_symmetry_space_group_name_Hall '-F 4 2 3'
loop_
_atom_site_label
_atom_site_type_symbol
_atom_site_fract_x
_atom_site_fract_y
_atom_site_fract_z
La1 La 0.000 0.000 0.000
Y1 Y 0.000 0.000 0.500
Zn1 Zn 0.250 0.250 0.250



# La2YZn2 (SCAN, single point on PBEsol structure)
# Energy of formation: -1.20 eV/f.u.
# Magnetic moment: 0.00 μB per atom
data_La2YZn2
_cell_length_a 8.481
_cell_length_b 8.481
_cell_length_c 3.689
_cell_angle_alpha 90.00
_cell_angle_beta 90.00
_cell_angle_gamma 90.00
_symmetry_space_group_name_H-M 'P 4/m b m'
_symmetry_Int_Tables_number 127
_symmetry_space_group_name_Hall '-P 4 2ab'
loop_
_atom_site_label
_atom_site_type_symbol
_atom_site_fract_x
_atom_site_fract_y
_atom_site_fract_z
La1 La 0.170 0.330 0.000
Y1 Y 0.000 0.000 0.500
Zn1 Zn 0.123 0.623 0.500



# LaYZn2 (SCAN, single point on PBEsol structure)
# Distance to the lowest polymorph of the same formula: 101.8 meV/atom
# Energy of formation: -1.21 eV/f.u.
# Magnetic moment: 0.00 μB per atom
data_LaYZn2
_cell_length_a 3.551
_cell_length_b 4.953
_cell_length_c 10.336
_cell_angle_alpha 90.00
_cell_angle_beta 90.00
_cell_angle_gamma 90.00
_symmetry_space_group_name_H-M 'I m m 2'
_symmetry_Int_Tables_number 44
loop_
_symmetry_equiv_pos_as_xyz
'x,y,z'
'-x,-y,z'
'-x,y,z'
'x,-y,z'
'x+1/2,y+1/2,z+1/2'
'-x+1/2,-y+1/2,z+1/2'
'-x+1/2,y+1/2,z+1/2'
'x+1/2,-y+1/2,z+1/2'
loop_
_atom_site_label
_atom_site_type_symbol
_atom_site_fract_x
_atom_site_fract_y
_atom_site_fract_z
La1 La 0.000 0.000 0.000
Y1 Y 0.000 0.500 0.216
Zn1 Zn 0.000 0.000 0.445
Zn2 Zn 0.000 0.500 0.768



# LaY2Zn (SCAN, single point on PBEsol structure)
# Distance to the lowest polymorph of the same formula: 26.5 meV/atom
# Energy of formation: -0.73 eV/f.u.
# Magnetic moment: 0.00 μB per atom
data_LaY2Zn
_cell_length_a 3.651
_cell_length_b 5.433
_cell_length_c 11.177
_cell_angle_alpha 90.00
_cell_angle_beta 90.00
_cell_angle_gamma 90.00
_symmetry_space_group_name_H-M 'I m m m'
_symmetry_Int_Tables_number 71
_symmetry_space_group_name_Hall '-I 2 2'
loop_
_atom_site_label
_atom_site_type_symbol
_atom_site_fract_x
_atom_site_fract_y
_atom_site_fract_z
La1 La 0.000 0.000 0.000
Y1 Y 0.000 0.500 0.212
Zn1 Zn 0.000 0.000 0.500



# LaYZn2 (SCAN, single point on PBEsol structure)
# Distance to the lowest polymorph of the same formula: 22.9 meV/atom
# Energy of formation: -1.52 eV/f.u.
# Magnetic moment: 0.00 μB per atom
data_LaYZn2
_cell_length_a 3.561
_cell_length_b 5.117
_cell_length_c 5.118
_cell_angle_alpha 90.00
_cell_angle_beta 90.00
_cell_angle_gamma 90.00
_symmetry_space_group_name_H-M 'P m m 2'
_symmetry_Int_Tables_number 25
loop_
_symmetry_equiv_pos_as_xyz
'x,y,z'
'-x,-y,z'
'-x,y,z'
'x,-y,z'
loop_
_atom_site_label
_atom_site_type_symbol
_atom_site_fract_x
_atom_site_fract_y
_atom_site_fract_z
La1 La 0.000 0.000 0.000
Y1 Y 0.000 0.500 0.497
Zn1 Zn 0.500 0.000 0.501
Zn2 Zn 0.500 0.500 0.996



# LaY2Zn (SCAN, single point on PBEsol structure)
# Distance to the lowest polymorph of the same formula: 34.4 meV/atom
# Energy of formation: -0.69 eV/f.u.
# Magnetic moment: 0.00 μB per atom
data_LaY2Zn
_cell_length_a 3.588
_cell_length_b 3.588
_cell_length_c 8.622
_cell_angle_alpha 90.00
_cell_angle_beta 90.00
_cell_angle_gamma 90.00
_symmetry_space_group_name_H-M 'P 4 m m'
_symmetry_Int_Tables_number 99
loop_
_symmetry_equiv_pos_as_xyz
'x,y,z'
'-y,x,z'
'-x,-y,z'
'y,-x,z'
'-x,y,z'
'y,x,z'
'x,-y,z'
'-y,-x,z'
loop_
_atom_site_label
_atom_site_type_symbol
_atom_site_fract_x
_atom_site_fract_y
_atom_site_fract_z
La1 La 0.000 0.000 0.000
Y1 Y 0.000 0.000 0.586
Y2 Y 0.500 0.500 0.303
Zn1 Zn 0.500 0.500 0.775



# LaYZn2 (SCAN, single point on PBEsol structure)
# Distance to the lowest polymorph of the same formula: 0.0 meV/atom
# Energy of formation: -1.61 eV/f.u.
# Magnetic moment: 0.00 μB per atom
data_LaYZn2
_cell_length_a 3.572
_cell_length_b 3.572
_cell_length_c 7.303
_cell_angle_alpha 90.00
_cell_angle_beta 90.00
_cell_angle_gamma 90.00
_symmetry_space_group_name_H-M 'P 4/m m m'
_symmetry_Int_Tables_number 123
_symmetry_space_group_name_Hall '-P 4 2'
loop_
_atom_site_label
_atom_site_type_symbol
_atom_site_fract_x
_atom_site_fract_y
_atom_site_fract_z
La1 La 0.000 0.000 0.000
Y1 Y 0.000 0.000 0.500
Zn1 Zn 0.500 0.500 0.275



# LaY2Zn (SCAN, single point on PBEsol structure)
# Distance to the lowest polymorph of the same formula: 0.0 meV/atom
# Energy of formation: -0.83 eV/f.u.
# Magnetic moment: 0.00 μB per atom
data_LaY2Zn
_cell_length_a 3.544
_cell_length_b 3.544
_cell_length_c 8.650
_cell_angle_alpha 90.00
_cell_angle_beta 90.00
_cell_angle_gamma 90.00
_symmetry_space_group_name_H-M 'P 4/m m m'
_symmetry_Int_Tables_number 123
_symmetry_space_group_name_Hall '-P 4 2'
loop_
_atom_site_label
_atom_site_type_symbol
_atom_site_fract_x
_atom_site_fract_y
_atom_site_fract_z
La1 La 0.000 0.000 0.000
Y1 Y 0.500 0.500 0.301
Zn1 Zn 0.000 0.000 0.500



# LaYZn4 (SCAN, single point on PBEsol structure)
# Energy of formation: -2.40 eV/f.u.
# Magnetic moment: 0.00 μB per atom
data_LaYZn4
_cell_length_a 7.712
_cell_length_b 7.712
_cell_length_c 7.712
_cell_angle_alpha 90.00
_cell_angle_beta 90.00
_cell_angle_gamma 90.00
_symmetry_space_group_name_H-M 'F -4 3 m'
_symmetry_Int_Tables_number 216
_symmetry_space_group_name_Hall 'F -4 2 3'
loop_
_atom_site_label
_atom_site_type_symbol
_atom_site_fract_x
_atom_site_fract_y
_atom_site_fract_z
La1 La 0.000 0.000 0.000
Y1 Y 0.250 0.250 0.250
Zn1 Zn 0.124 0.124 0.624